[1]
This record from OQMD via LeMat-Bulk describes TlCo after structural relaxation. The functional is PBE-GGA.

```
data_TlCo
_chemical_formula_sum 'Tl2 Co2'
_cell_length_a 4.222
_cell_length_b 4.222
_cell_length_c 6.785
_cell_angle_alpha 90.00
_cell_angle_beta 90.00
_cell_angle_gamma 120.00
_symmetry_space_group_name_H-M 'P 1'
_symmetry_Int_Tables_number 1
_symmetry_space_group_name_Hall 'P 1'
loop_
_atom_site_label
_atom_site_type_symbol
_atom_site_fract_x
_atom_site_fract_y
_atom_site_fract_z
Co1 Co 0.333 0.667 0.498
Co2 Co 0.000 0.000 0.998
Tl1 Tl 0.000 0.000 0.377
Tl2 Tl 0.333 0.667 0.877
```

Results
E   -3.474 eV/atom
Mass density   8.348 g/cm³

[2]
This record from OQMD via LeMat-Bulk describes Tl2Co7 after structural relaxation. The functional is PBE-GGA.

```
data_Tl2Co7
_chemical_formula_sum 'Tl2 Co7'
_cell_length_a 2.785
_cell_length_b 2.785
_cell_length_c 29.740
_cell_angle_alpha 90.00
_cell_angle_beta 90.00
_cell_angle_gamma 120.00
_symmetry_space_group_name_H-M 'P 1'
_symmetry_Int_Tables_number 1
_symmetry_space_group_name_Hall 'P 1'
loop_
_atom_site_label
_atom_site_type_symbol
_atom_site_fract_x
_atom_site_fract_y
_atom_site_fract_z
Co1 Co 0.000 0.000 0.314
Co2 Co 0.667 0.333 0.374
Co3 Co 0.333 0.667 0.437
Co4 Co 0.000 0.000 0.500
Co5 Co 0.667 0.333 0.563
Co6 Co 0.333 0.667 0.626
Co7 Co 0.000 0.000 0.686
Tl1 Tl 0.333 0.667 0.231
Tl2 Tl 0.667 0.333 0.769
```

Results
E   -5.502 eV/atom
Mass density   6.829 g/cm³

[3]
This record from OQMD via LeMat-Bulk describes TlCo10 after structural relaxation. The functional is PBE-GGA.

```
data_TlCo10
_chemical_formula_sum 'Tl2 Co20'
_cell_length_a 4.258
_cell_length_b 4.258
_cell_length_c 28.834
_cell_angle_alpha 90.29
_cell_angle_beta 90.29
_cell_angle_gamma 47.96
_symmetry_space_group_name_H-M 'P 1'
_symmetry_Int_Tables_number 1
_symmetry_space_group_name_Hall 'P 1'
loop_
_atom_site_label
_atom_site_type_symbol
_atom_site_fract_x
_atom_site_fract_y
_atom_site_fract_z
Co1 Co 0.850 0.850 0.014
Co2 Co 0.550 0.550 0.041
Co3 Co 0.249 0.249 0.069
Co4 Co 0.950 0.950 0.097
Co5 Co 0.650 0.650 0.124
Co6 Co 0.350 0.350 0.152
Co7 Co 0.048 0.048 0.179
Co8 Co 0.747 0.747 0.207
Co9 Co 0.448 0.448 0.234
Co10 Co 0.149 0.149 0.259
Co11 Co 0.851 0.851 0.741
Co12 Co 0.552 0.552 0.766
Co13 Co 0.253 0.253 0.793
Co14 Co 0.952 0.952 0.821
Co15 Co 0.650 0.650 0.848
Co16 Co 0.350 0.350 0.876
Co17 Co 0.050 0.050 0.903
Co18 Co 0.751 0.751 0.931
Co19 Co 0.450 0.450 0.959
Co20 Co 0.150 0.150 0.986
Tl1 Tl 0.856 0.856 0.313
Tl2 Tl 0.144 0.144 0.687
```

Results
E   -6.537 eV/atom
Mass density   6.790 g/cm³

[4]
This record from OQMD via LeMat-Bulk describes TlCo15 after structural relaxation. The functional is PBE-GGA.

```
data_TlCo15
_chemical_formula_sum 'Tl2 Co30'
_cell_length_a 6.900
_cell_length_b 2.531
_cell_length_c 33.459
_cell_angle_alpha 90.00
_cell_angle_beta 90.00
_cell_angle_gamma 90.00
_symmetry_space_group_name_H-M 'P 1'
_symmetry_Int_Tables_number 1
_symmetry_space_group_name_Hall 'P 1'
loop_
_atom_site_label
_atom_site_type_symbol
_atom_site_fract_x
_atom_site_fract_y
_atom_site_fract_z
Co1 Co 0.375 0.500 0.226
Co2 Co 0.619 0.000 0.261
Co3 Co 0.131 0.000 0.261
Co4 Co 0.875 0.500 0.296
Co5 Co 0.375 0.500 0.297
Co6 Co 0.628 0.000 0.334
Co7 Co 0.122 0.000 0.334
Co8 Co 0.875 0.500 0.370
Co9 Co 0.375 0.500 0.371
Co10 Co 0.125 0.000 0.408
Co11 Co 0.625 0.000 0.408
Co12 Co 0.375 0.500 0.445
Co13 Co 0.875 0.500 0.445
Co14 Co 0.625 0.000 0.482
Co15 Co 0.125 0.000 0.482
Co16 Co 0.875 0.500 0.518
Co17 Co 0.375 0.500 0.518
Co18 Co 0.125 0.000 0.555
Co19 Co 0.625 0.000 0.555
Co20 Co 0.375 0.500 0.592
Co21 Co 0.875 0.500 0.592
Co22 Co 0.625 0.000 0.629
Co23 Co 0.125 0.000 0.630
Co24 Co 0.878 0.500 0.666
Co25 Co 0.372 0.500 0.666
Co26 Co 0.625 0.000 0.703
Co27 Co 0.125 0.000 0.704
Co28 Co 0.868 0.500 0.739
Co29 Co 0.381 0.500 0.739
Co30 Co 0.625 0.000 0.774
Tl1 Tl 0.875 0.500 0.203
Tl2 Tl 0.125 0.000 0.797
```

Results
Energy above the most stable polymorph in this dataset   53 meV/atom
E   -6.625 eV/atom
Mass density   6.185 g/cm³